First-principles (PBE) data for a relaxed structure of NaBeOF2, as listed in Alexandria.

Cell and atoms, written as POSCAR:
```
NaBeOF2
1.0
3.928 0.000 0.000
0.000 3.928 0.000
0.000 0.000 4.162
Na Be O F
1 1 1 2
Direct
0.000 0.000 0.000
0.500 0.500 0.500
0.000 0.000 0.500
0.000 0.500 0.000
0.500 0.000 0.000
```

Output
Calculated volume = 64.2 Å³/f.u.
Total DFT energy (no corrections) = -3.244 eV per atom
E above lowest polymorph = 1651.4 meV per atom